No. 1
Below is Sc2Zn2Hg at its PBEsol-relaxed geometry, with properties calculated at the SCAN level.

Output
Total magnetic moment = 0.001 μB/atom
Formation enthalpy at 0 K = -207 meV per atom
Calculated total energy = -24.941 eV/atom
E above lowest polymorph = 1.394 eV per formula unit
Space-group type = I4/mmm, No. 139

Cell: 3.442 3.442 8.769 Å, 101.32 101.32 90.00°
Atoms (fractional coordinates):
Sc (0.395, 0.395, 0.790)
Sc (0.605, 0.605, 0.210)
Zn (0.250, 0.750, 0.500)
Zn (0.750, 0.250, 0.500)
Hg (0.000, 0.000, 0.000)



No. 2
Below is Sc2Zn2Hg at its PBEsol-relaxed geometry, with properties calculated at the SCAN level.

Output
Total magnetic moment = 0.000 μB/atom
Formation enthalpy at 0 K = -486 meV per atom
Calculated total energy = -25.220 eV/atom
E above lowest polymorph = 0.000 eV per formula unit
Space-group type = P4/mbm, No. 127

Cell: 3.745 7.003 7.003 Å, 90.00 90.00 90.00°
Atoms (fractional coordinates):
Sc (0.500, 0.169, 0.669)
Sc (0.500, 0.669, 0.831)
Sc (0.500, 0.831, 0.331)
Sc (0.500, 0.331, 0.169)
Zn (0.000, 0.374, 0.874)
Zn (0.000, 0.874, 0.626)
Zn (0.000, 0.626, 0.126)
Zn (0.000, 0.126, 0.374)
Hg (0.000, 0.000, 0.000)
Hg (0.000, 0.500, 0.500)



No. 3
Below is Sc2ZnHg at its PBEsol-relaxed geometry, with properties calculated at the SCAN level.

Output
Total magnetic moment = 0.000 μB/atom
Formation enthalpy at 0 K = -575 meV per atom
Calculated total energy = -28.114 eV/atom
E above lowest polymorph = 0.034 eV per formula unit
Space-group type = Pmm2, No. 25

Cell: 3.469 4.738 4.738 Å, 90.00 90.00 90.00°
Atoms (fractional coordinates):
Sc (0.000, 0.000, 0.125)
Sc (0.000, 0.500, 0.625)
Zn (0.500, 0.000, 0.624)
Hg (0.500, 0.500, 0.126)



No. 4
Below is ScZnHg2 at its PBEsol-relaxed geometry, with properties calculated at the SCAN level.

Output
Total magnetic moment = 0.000 μB/atom
Formation enthalpy at 0 K = -237 meV per atom
Calculated total energy = -41.258 eV/atom
Space-group type = I-4m2, No. 119

Cell: 4.758 4.736 4.758 Å, 59.85 90.00 120.15°
Atoms (fractional coordinates):
Sc (0.500, 0.000, 0.500)
Zn (0.750, 0.500, 0.750)
Hg (0.000, 0.000, 0.000)
Hg (0.250, 0.500, 0.250)